No. 1
Below is an optimized crystal structure of Dy3Mg4In2, with properties calculated at the PBE level.

Lattice parameters (Å, degrees): 5.042 6.108 9.473 117.37 90.00 114.38
Element x y z (fractional)
Mg  0.290  0.580  0.956
Mg  0.929  0.859  0.598
Mg  0.710  0.420  0.044
Mg  0.071  0.141  0.402
Dy  0.000  0.000  0.000
Dy  0.665  0.331  0.669
Dy  0.335  0.669  0.331
In  0.609  0.219  0.275
In  0.391  0.781  0.725

Summary:
Energy of formation (eV per atom): -0.266
DOS(E_F) (states/eV/f.u.): 4.53
DFT total energy (eV/atom): -3.117
Space-group type: No. 12

No. 2
Below is an optimized crystal structure of TeAsW2, with properties calculated at the PBE level.

Lattice parameters (Å, degrees): 4.581 4.581 4.581 60.00 60.00 60.00
Element x y z (fractional)
As  0.000  0.000  0.000
Te  0.500  0.500  0.500
W  0.750  0.750  0.750
W  0.250  0.250  0.250

Summary:
Formation energy from raw total energies (meV per atom): 570
Polymorph energy (0 for the lowest one) (eV per atom): 0.387
DOS(E_F) (states/eV/f.u.): 3.77
DFT total energy (eV/atom): -7.854
Space-group type: No. 225

No. 3
Below is an optimized crystal structure of K2SrZn, with properties calculated at the PBE level.

Lattice parameters (Å, degrees): 6.221 4.595 7.222 70.85 90.00 90.00
Element x y z (fractional)
K  0.000  0.909  0.966
K  0.000  0.591  0.534
Sr  0.500  0.250  0.250
Zn  0.500  0.750  0.750

Summary:
Energy of formation (eV per atom): 0.197
DOS(E_F) (states/eV/f.u.): 3.33
DFT total energy (eV/atom): -1.090
Space-group type: No. 10

No. 4
Below is an optimized crystal structure of Cu2Pd2Pt5, with properties calculated at the PBE level.

Lattice parameters (Å, degrees): 4.517 4.619 12.481 134.22 100.11 109.27
Element x y z (fractional)
Cu  0.551  0.187  0.643
Cu  0.449  0.813  0.357
Pt  0.000  0.000  0.000
Pt  0.196  0.325  0.508
Pt  0.804  0.675  0.492
Pt  0.648  0.204  0.169
Pt  0.352  0.796  0.831
Pd  0.011  0.825  0.170
Pd  0.989  0.175  0.830

Summary:
Energy of formation (eV per atom): 0.047
Polymorph energy (0 for the lowest one) (eV per atom): 0.124
DOS(E_F) (states/eV/f.u.): 11.99
DFT total energy (eV/atom): -5.373
Space-group type: No. 2

No. 5
Below is an optimized crystal structure of TiAlRu2Rh, with properties calculated at the PBE level.

Lattice parameters (Å, degrees): 4.323 4.575 4.323 90.00 90.00 90.00
Element x y z (fractional)
Ru  0.500  0.000  0.000
Ru  0.000  0.000  0.500
Ti  0.000  0.500  0.000
Rh  0.500  0.500  0.500
Al  0.000  0.000  0.000

Summary:
Energy of formation (eV per atom): 0.964
DOS(E_F) (states/eV/f.u.): 4.48
DFT total energy (eV/atom): -6.545
Space-group type: No. 123

No. 6
Below is an optimized crystal structure of KLiIn2Rh, with properties calculated at the PBE level.

Lattice parameters (Å, degrees): 5.176 5.176 5.124 90.00 90.00 90.00
Element x y z (fractional)
In  0.000  0.500  0.000
In  0.500  0.000  0.000
Rh  0.000  0.000  0.000
K  0.500  0.500  0.500
Li  0.000  0.000  0.500

Summary:
Energy of formation (eV per atom): -0.212
DOS(E_F) (states/eV/f.u.): 1.72
DFT total energy (eV/atom): -3.380
Space-group type: No. 123

Which value of DOS(E_F) does entry 6 give?
1.72 states/eV/f.u.

Repeat the fourth record exactly.
Below is an optimized crystal structure of Cu2Pd2Pt5, with properties calculated at the PBE level.

Lattice parameters (Å, degrees): 4.517 4.619 12.481 134.22 100.11 109.27
Element x y z (fractional)
Cu  0.551  0.187  0.643
Cu  0.449  0.813  0.357
Pt  0.000  0.000  0.000
Pt  0.196  0.325  0.508
Pt  0.804  0.675  0.492
Pt  0.648  0.204  0.169
Pt  0.352  0.796  0.831
Pd  0.011  0.825  0.170
Pd  0.989  0.175  0.830

Summary:
Energy of formation (eV per atom): 0.047
Polymorph energy (0 for the lowest one) (eV per atom): 0.124
DOS(E_F) (states/eV/f.u.): 11.99
DFT total energy (eV/atom): -5.373
Space-group type: No. 2